VASP calculation (PBE) on Cs3CuS3 after structural relaxation.

The structure in POSCAR format:
```
Cs3CuS3
1.0
6.932 0.000 0.000
-2.311 6.652 0.000
-2.311 -3.326 5.761
Cu Cs S
1 3 3
Direct
0.357 0.000 0.000
0.998 0.429 0.000
0.998 0.000 0.429
0.569 0.571 0.571
0.460 0.000 0.327
0.133 0.673 0.673
0.460 0.327 0.000
```

- Space-group type: R3m
- Total moment: 0.284 μB per atom
- Uncorrected energy: -3.387 eV per atom
- Formation energy from raw total energies: -0.67 eV per atom

VASP calculation (PBE) on CsCu3S after structural relaxation.

The structure in POSCAR format:
```
CsCu3S
1.0
-0.412 0.490 4.796
1.138 -4.668 0.574
4.685 1.177 0.282
Cu Cs S
3 1 1
Direct
0.500 0.000 0.000
0.000 0.500 0.000
0.000 0.000 0.500
0.500 0.500 0.500
0.000 0.000 0.000
```

- Space-group type: Pm-3m
- Offset from the most stable computed form: 0 meV per atom
- Total moment: 0.000 μB per atom
- Uncorrected energy: -3.032 eV per atom
- Formation energy from raw total energies: 0.42 eV per atom

VASP calculation (PBE) on Cs3Cu2S4 after structural relaxation.

The structure in POSCAR format:
```
Cs3Cu2S4
1.0
3.593 0.000 0.000
-1.797 6.241 -0.169
0.000 -0.799 11.866
S Cs Cu
4 3 2
Direct
0.752 0.505 0.127
0.119 0.239 0.653
0.881 0.761 0.347
0.248 0.495 0.873
0.612 0.225 0.388
0.388 0.775 0.612
0.000 0.000 0.000
0.684 0.368 0.764
0.316 0.632 0.236
```

- Space-group type: C2/m
- Total moment: 0.000 μB per atom
- Uncorrected energy: -3.614 eV per atom
- Formation energy from raw total energies: -0.58 eV per atom

VASP calculation (PBE) on CsCuS4 after structural relaxation.

The structure in POSCAR format:
```
CsCuS4
1.0
7.575 0.000 3.549
-1.663 7.390 3.549
0.897 1.121 7.944
S Cs Cu
8 2 2
Direct
0.692 0.002 0.887
0.308 0.998 0.113
0.921 0.110 0.887
0.079 0.890 0.113
0.498 0.579 0.613
0.610 0.192 0.387
0.502 0.421 0.387
0.390 0.808 0.613
0.875 0.625 0.750
0.125 0.375 0.250
0.375 0.125 0.750
0.625 0.875 0.250
```

- Space-group type: I4_1/a
- Offset from the most stable computed form: 281 meV per atom
- Total moment: 0.000 μB per atom
- Uncorrected energy: -3.739 eV per atom
- Formation energy from raw total energies: -0.16 eV per atom

VASP calculation (PBE) on CsCu12S6 after structural relaxation.

The structure in POSCAR format:
```
CsCu12S6
1.0
-0.705 -2.650 -6.427
3.016 -5.656 2.781
-6.480 -1.527 2.120
S Cu Cs
6 12 1
Direct
0.187 0.187 0.603
0.603 0.187 0.187
0.397 0.813 0.813
0.187 0.603 0.187
0.813 0.813 0.397
0.813 0.397 0.813
0.889 0.603 0.603
0.500 0.248 0.752
0.752 0.500 0.248
0.752 0.248 0.500
0.397 0.111 0.397
0.603 0.603 0.889
0.248 0.500 0.752
0.111 0.397 0.397
0.603 0.889 0.603
0.500 0.752 0.248
0.397 0.397 0.111
0.248 0.752 0.500
0.000 0.000 0.000
```

- Space-group type: R-3m
- Total moment: 0.000 μB per atom
- Uncorrected energy: -4.118 eV per atom
- Formation energy from raw total energies: -0.18 eV per atom

VASP calculation (PBE) on CsCuS after structural relaxation.

The structure in POSCAR format:
```
CsCuS
1.0
4.030 -0.607 -0.572
-0.985 7.123 0.116
-1.045 3.581 3.617
Cu Cs S
1 1 1
Direct
0.986 0.709 0.579
0.256 0.209 0.620
0.546 0.710 0.698
```

- Space-group type: C2
- Total moment: 0.000 μB per atom
- Uncorrected energy: -3.671 eV per atom
- Formation energy from raw total energies: -0.64 eV per atom

VASP calculation (PBE) on CsCuS after structural relaxation.

The structure in POSCAR format:
```
CsCuS
1.0
5.457 0.000 0.000
0.000 5.457 0.000
0.000 0.000 13.839
Cu S Cs
4 4 4
Direct
0.364 0.364 0.875
0.364 0.636 0.625
0.636 0.636 0.375
0.636 0.364 0.125
0.824 0.500 0.250
0.500 0.824 0.500
0.176 0.500 0.750
0.500 0.176 0.000
0.748 0.000 0.750
0.000 0.748 0.000
0.252 0.000 0.250
0.000 0.252 0.500
```

- Space-group type: P4_122
- Total moment: 0.000 μB per atom
- Uncorrected energy: -3.704 eV per atom
- Formation energy from raw total energies: -0.68 eV per atom

VASP calculation (PBE) on CsCuS after structural relaxation.

The structure in POSCAR format:
```
CsCuS
1.0
5.478 0.000 0.000
0.000 4.051 0.000
0.000 -2.026 3.509
S Cu Cs
1 1 1
Direct
0.167 0.000 0.000
0.167 0.333 0.667
0.667 0.667 0.333
```

- Space-group type: P-6m2
- Total moment: 0.000 μB per atom
- Uncorrected energy: -3.662 eV per atom
- Formation energy from raw total energies: -0.64 eV per atom